Material: CaSeNF2
Method: DFT, GGA-PBE
State: optimized geometry

Geometry as POSCAR:
```
CaSeNF2
1.0
4.158 0.000 0.000
0.000 4.158 0.000
0.000 0.000 5.288
Ca Se N F
1 1 1 2
direct
0.000 0.000 0.000
0.500 0.500 0.500
0.000 0.000 0.500
0.000 0.500 0.000
0.500 0.000 0.000
```

- Relative energy among the computed polymorphs: 0.84 eV/f.u.
- Final energy: -21.26 eV/cell
- E_form (uncorrected): -0.7407 eV per atom